Record 1
Computed, not measured: crystalline Sm5Ga2Ag2 at its relaxed geometry at the PBE level of DFT.

Structure (CIF):
```
data_Sm5Ga2Ag2
_chemical_formula_sum 'Sm10 Ga4 Ag4'
_cell_length_a 9.077
_cell_length_b 9.077
_cell_length_c 7.694
_cell_angle_alpha 90.00
_cell_angle_beta 90.00
_cell_angle_gamma 50.27
_space_group_name_H-M_alt 'P 1'
_space_group_IT_number 1
loop_
_space_group_symop_operation_xyz
'x,y,z'
loop_
_atom_site_label
_atom_site_type_symbol
_atom_site_fract_x
_atom_site_fract_y
_atom_site_fract_z
Sm1 Sm 0.000 0.000 0.000
Sm2 Sm 0.046 0.683 0.677
Sm3 Sm 0.183 0.546 0.177
Sm4 Sm 0.317 0.954 0.677
Sm5 Sm 0.454 0.817 0.177
Sm6 Sm 0.500 0.500 0.500
Sm7 Sm 0.546 0.183 0.823
Sm8 Sm 0.683 0.046 0.323
Sm9 Sm 0.817 0.454 0.823
Sm10 Sm 0.954 0.317 0.323
Ga1 Ga 0.117 0.883 0.382
Ga2 Ga 0.383 0.617 0.882
Ga3 Ga 0.617 0.383 0.118
Ga4 Ga 0.883 0.117 0.618
Ag1 Ag 0.214 0.214 0.000
Ag2 Ag 0.286 0.286 0.500
Ag3 Ag 0.714 0.714 0.500
Ag4 Ag 0.786 0.786 0.000
```

Output
* density: 7.54 Mg/m³
* symmetry: Cmce, No. 64
* distance to the lowest polymorph of the same formula: 0 meV per atom
* energy: -4.282 eV/atom
* formation enthalpy at 0 K: -8.2 kcal/mol of atoms

---

Record 2
Computed, not measured: crystalline SmGa4Ag at its relaxed geometry at the PBE level of DFT.

Structure (CIF):
```
data_SmGa4Ag
_chemical_formula_sum 'Sm1 Ga4 Ag1'
_cell_length_a 5.529
_cell_length_b 5.529
_cell_length_c 5.529
_cell_angle_alpha 60.00
_cell_angle_beta 60.00
_cell_angle_gamma 60.00
_space_group_name_H-M_alt 'P 1'
_space_group_IT_number 1
loop_
_space_group_symop_operation_xyz
'x,y,z'
loop_
_atom_site_label
_atom_site_type_symbol
_atom_site_fract_x
_atom_site_fract_y
_atom_site_fract_z
Sm1 Sm 0.000 0.000 0.000
Ga1 Ga 0.125 0.625 0.625
Ga2 Ga 0.625 0.125 0.625
Ga3 Ga 0.625 0.625 0.125
Ga4 Ga 0.625 0.625 0.625
Ag1 Ag 0.250 0.250 0.250
```

Output
* density: 7.46 Mg/m³
* symmetry: F-43m, No. 216
* distance to the lowest polymorph of the same formula: 98 meV per atom
* energy: -3.501 eV/atom
* formation enthalpy at 0 K: -5.1 kcal/mol of atoms